Entry 1:
KLi2W | meta-GGA SCAN | single point on PBEsol structure

Its excess energy over the best structure of this formula in the dataset is 0.038 eV per formula unit. As for the energy of formation: 3.274 eV/f.u. The value obtained for the total moment is 0.027 μB/atom. The total energy comes out at -79.5 eV/cell.

The space group is P4/mmm (No. 123) and the conventional cell measures 2.761, 2.761 and 10.692 Å, with angles of 90.00, 90.00 and 90.00 degrees. The distinct sites, in fractional coordinates, are K at (0.000, 0.000, 0.000), Li at (0.500, 0.500, 0.306) and W at (0.000, 0.000, 0.500).

Entry 2:
KLiW2 | meta-GGA SCAN | single point on PBEsol structure

Its excess energy over the best structure of this formula in the dataset is 1.790 eV per formula unit. As for the energy of formation: 4.910 eV/f.u. The value obtained for the total moment is 0.000 μB/atom. The total energy comes out at -145.2 eV/cell.

The space group is P4/mmm (No. 123) and the conventional cell measures 2.601, 2.601 and 10.808 Å, with angles of 90.00, 90.00 and 90.00 degrees. The distinct sites, in fractional coordinates, are K at (0.000, 0.000, 0.000), Li at (0.000, 0.000, 0.500) and W at (0.500, 0.500, 0.286).

Entry 3:
KLiW2 | meta-GGA SCAN | single point on PBEsol structure

Its excess energy over the best structure of this formula in the dataset is 1.162 eV per formula unit. As for the energy of formation: 4.283 eV/f.u. The value obtained for the total moment is 0.000 μB/atom. The total energy comes out at -291.6 eV/cell.

The space group is Cmmm (No. 65) and the conventional cell measures 2.943, 4.416 and 11.148 Å, with angles of 90.00, 90.00 and 90.00 degrees. The distinct sites, in fractional coordinates, are K at (0.000, 0.000, 0.000), Li at (0.000, 0.000, 0.500) and W at (0.000, 0.500, 0.280).

Entry 4:
KLiW2 | meta-GGA SCAN | single point on PBEsol structure

Its excess energy over the best structure of this formula in the dataset is 2.508 eV per formula unit. As for the energy of formation: 5.629 eV/f.u. The value obtained for the total moment is 0.000 μB/atom. The total energy comes out at -288.9 eV/cell.

The space group is I4/mmm (No. 139) and the conventional cell measures 3.686, 3.686 and 11.439 Å, with angles of 90.00, 90.00 and 90.00 degrees. The distinct sites, in fractional coordinates, are K at (0.000, 0.000, 0.000), Li at (0.000, 0.000, 0.500) and W at (0.000, 0.500, 0.250).

Entry 5:
KLi2W | meta-GGA SCAN | single point on PBEsol structure

Its excess energy over the best structure of this formula in the dataset is 0.839 eV per formula unit. As for the energy of formation: 4.075 eV/f.u. The value obtained for the total moment is 0.204 μB/atom. The total energy comes out at -157.4 eV/cell.

The space group is Cm (No. 8) and the conventional cell measures 10.708, 2.583 and 5.806 Å, with angles of 90.00, 90.84 and 90.00 degrees. The distinct sites, in fractional coordinates, are K at (0.000, 0.000, 0.000), Li at (0.014, 0.500, 0.516), Li at (0.252, 0.500, 0.199) and W at (0.252, 0.000, 0.642).

Entry 6:
KLi2W | meta-GGA SCAN | single point on PBEsol structure

Its excess energy over the best structure of this formula in the dataset is 0.592 eV per formula unit. As for the energy of formation: 3.827 eV/f.u. The value obtained for the total moment is 0.039 μB/atom. The total energy comes out at -157.9 eV/cell.

The space group is C2/m (No. 12) and the conventional cell measures 9.751, 2.581 and 7.041 Å, with angles of 90.00, 92.09 and 90.00 degrees. The distinct sites, in fractional coordinates, are K at (0.000, 0.000, 0.000), Li at (0.240, 0.000, 0.663) and W at (0.000, 0.500, 0.500).

Entry 7:
KLiW2 | meta-GGA SCAN | single point on PBEsol structure

Its excess energy over the best structure of this formula in the dataset is 5.804 eV per formula unit. As for the energy of formation: 8.925 eV/f.u. The value obtained for the total moment is 0.482 μB/atom. The total energy comes out at -141.2 eV/cell.

The space group is P4/mmm (No. 123) and the conventional cell measures 5.630, 5.630 and 2.519 Å, with angles of 90.00, 90.00 and 90.00 degrees. The distinct sites, in fractional coordinates, are K at (0.000, 0.000, 0.000), Li at (0.500, 0.500, 0.000) and W at (0.000, 0.500, 0.500).

Entry 8:
KLiZn2 | meta-GGA SCAN | single point on PBEsol structure

Its excess energy over the best structure of this formula in the dataset is 0.000 eV per formula unit. As for the energy of formation: 0.412 eV/f.u. The value obtained for the total moment is 0.005 μB/atom. The total energy comes out at -37.3 eV/cell.

The space group is Pmm2 (No. 25) and the conventional cell measures 3.164, 3.589 and 8.277 Å, with angles of 90.00, 90.00 and 90.00 degrees. The distinct sites, in fractional coordinates, are K at (0.000, 0.000, 0.000), Li at (0.500, 0.500, 0.379), Zn at (0.000, 0.000, 0.566) and Zn at (0.500, 0.500, 0.699).

Entry 9:
KLiZn | meta-GGA SCAN | single point on PBEsol structure

As for the energy of formation: 0.509 eV/f.u. The value obtained for the total moment is 0.000 μB/atom. The total energy comes out at -23.7 eV/cell.

The space group is P-6m2 (No. 187) and the conventional cell measures 4.6932, 4.6932 and 4.9447 Å, with angles of 90.00, 90.00 and 120.00 degrees. The distinct sites, in fractional coordinates, are K at (0.0000, 0.0000, 0.0000), Li at (0.3333, 0.6667, 0.5000) and Zn at (0.6667, 0.3333, 0.5000).

Entry 10:
KLi3Zn | meta-GGA SCAN | single point on PBEsol structure

As for the energy of formation: 0.443 eV/f.u. The value obtained for the total moment is 0.000 μB/atom. The total energy comes out at -28.6 eV/cell.

The space group is Pm-3m (No. 221) and the conventional cell measures 5.179, 5.179 and 5.179 Å, with angles of 90.00, 90.00 and 90.00 degrees. The distinct sites, in fractional coordinates, are K at (0.000, 0.000, 0.000), Li at (0.000, 0.500, 0.500) and Zn at (0.500, 0.500, 0.500).

Entry 11:
KLiZn2 | meta-GGA SCAN | single point on PBEsol structure

Its excess energy over the best structure of this formula in the dataset is 0.671 eV per formula unit. As for the energy of formation: 1.082 eV/f.u. The value obtained for the total moment is 0.000 μB/atom. The total energy comes out at -73.3 eV/cell.

The space group is Cmmm (No. 65) and the conventional cell measures 6.774, 8.915 and 3.093 Å, with angles of 90.00, 90.00 and 90.00 degrees. The distinct sites, in fractional coordinates, are K at (0.000, 0.000, 0.000), Li at (0.000, 0.500, 0.000) and Zn at (0.250, 0.250, 0.500).

Entry 12:
K2LiZr | meta-GGA SCAN | single point on PBEsol structure

Its excess energy over the best structure of this formula in the dataset is 0.231 eV per formula unit. As for the energy of formation: 2.545 eV/f.u. The value obtained for the total moment is 0.341 μB/atom. The total energy comes out at -141.6 eV/cell.

The space group is R-3m (No. 166, hexagonal axes) and the conventional cell measures 3.3754, 3.3754 and 39.7166 Å, with angles of 90.00, 90.00 and 120.00 degrees. The distinct sites, in fractional coordinates, are K at (0.0000, 0.0000, 0.2499), Li at (0.0000, 0.0000, 0.0000) and Zr at (0.0000, 0.0000, 0.5000).